# KSrFe4

A relaxed structure of KSrFe4 (GGA-PBE, the Alexandria database).

CIF file:
```
data_KSrFe4
_cell_length_a 5.565
_cell_length_b 5.565
_cell_length_c 5.565
_cell_angle_alpha 60.00
_cell_angle_beta 60.00
_cell_angle_gamma 60.00
_symmetry_space_group_name_H-M 'P 1'
_symmetry_Int_Tables_number 1
loop_
_symmetry_equiv_pos_as_xyz
'x,y,z'
loop_
_atom_site_label
_atom_site_type_symbol
_atom_site_fract_x
_atom_site_fract_y
_atom_site_fract_z
K1 K 0.750 0.750 0.750
Fe1 Fe 0.920 0.360 0.360
Fe2 Fe 0.360 0.920 0.360
Sr1 Sr 0.000 0.000 0.000
Fe3 Fe 0.360 0.360 0.920
Fe4 Fe 0.360 0.360 0.360
```

Values from the calculation:
- M_tot (μB per formula unit) = 10.54
- DFT formation energy (kJ/mol of formula units) = 436